1:
A plane-wave DFT calculation with PBE-GGA was carried out for a relaxed Nd4Hg2C crystal.

The structure in POSCAR format:
```
Nd4Hg2C
1.0
-0.527 0.873 -5.045
4.664 -2.010 -0.835
-5.189 -6.312 2.075
Nd Hg C
4 2 1
direct
0.833 0.833 0.665
0.500 0.000 0.000
0.167 0.167 0.335
0.000 0.500 0.000
0.371 0.371 0.742
0.629 0.629 0.258
0.000 0.000 0.000
```

Calculated values
N(E_F) = 7.14 states/eV per cell



2:
A plane-wave DFT calculation with PBE-GGA was carried out for a relaxed Nd4Hg2C crystal.

The structure in POSCAR format:
```
Nd4Hg2C
1.0
-2.950 0.083 -2.354
-3.577 -5.811 4.277
-5.831 9.208 7.632
Hg Nd C
4 8 2
direct
0.500 0.571 0.337
0.500 0.071 0.163
0.500 0.429 0.663
0.500 0.929 0.837
0.500 0.209 0.455
0.500 0.791 0.545
0.000 0.387 0.180
0.000 0.113 0.680
0.500 0.709 0.045
0.000 0.887 0.320
0.500 0.291 0.955
0.000 0.613 0.820
0.000 0.000 0.500
0.000 0.500 0.000
```

Calculated values
N(E_F) = 18.61 states/eV per cell



Which of them is least stable? Easy: 2.